Crystalline TaSnMoO6 at its relaxed geometry, computed with PBE with a Hubbard U.

Cell and atoms, written as extended XYZ:
```
18
Lattice="-2.3285 4.0655 2.4030 -2.7411 -3.0013 -3.3472 -2.4417 -5.4900 6.9222" Properties=species:S:1:pos:R:3 pbc="T T T"
Ta -3.0765 0.3374 2.2168
Ta -4.4348 -4.7632 3.7612
Sn 0.0000 0.0000 0.0000
Sn -1.2208 -2.7450 3.4611
Mo -3.2140 -2.0182 0.3001
Mo -4.2973 -2.4076 5.6780
O -3.6927 0.0844 0.3232
O -3.4708 2.3050 2.1626
O -4.9624 -5.0777 1.8501
O -4.0405 -6.7308 3.8155
O -2.5885 -1.6070 2.3225
O -4.9826 -0.0351 2.7247
O -6.3360 -5.0510 4.3380
O -2.5489 0.6519 4.1280
O -2.5288 -4.3907 3.2533
O -1.1753 0.6252 1.6401
O -4.9228 -2.8189 3.6556
O -3.8186 -4.5102 5.6549
```

Values from the calculation:
Total energy (eV per cell): -142.56